Entry 1:
Computed, not measured: an optimized crystal structure of LiAl2Ga at the PBE level of DFT.

The structure in extended XYZ format:
```
4
Lattice="3.235 0.000 0.000 0.000 3.235 0.000 0.000 0.000 6.520" Properties=species:S:1:pos:R:3 pbc="T T T"
Li 0.000 0.000 0.000
Al 1.617 1.617 1.609
Al 1.617 1.617 4.911
Ga 0.000 0.000 3.260
```

- Size of the total moment: 0.0 μB/f.u.
- DFT formation energy: 14.3 meV per atom
- Mass density: 3.18 g/cm3

=====

Entry 2:
Computed, not measured: an optimized crystal structure of Cd6InHg8 at the PBE level of DFT.

The structure in extended XYZ format:
```
15
Lattice="4.494 2.594 5.792 -4.494 2.594 5.792 0.000 -5.189 5.792" Properties=species:S:1:pos:R:3 pbc="T T T"
Cd -1.510 -2.541 6.221
Cd -2.956 0.037 11.155
Cd -1.446 2.579 6.221
Cd 1.446 -2.579 11.155
Cd 2.956 -0.037 6.221
Cd 1.510 2.541 11.155
In 0.000 0.000 0.000
Hg -2.477 -2.231 8.965
Hg -3.171 1.030 8.411
Hg 0.000 0.000 5.828
Hg 0.694 -3.261 8.411
Hg -0.694 3.261 8.965
Hg 0.000 0.000 11.549
Hg 3.171 -1.030 8.965
Hg 2.477 2.231 8.411
```

- Size of the total moment: 0.0 μB/f.u.
- DFT formation energy: 33.5 meV per atom
- Mass density: 9.81 g/cm3

=====

Entry 3:
Computed, not measured: an optimized crystal structure of In3C at the PBE level of DFT.

The structure in extended XYZ format:
```
12
Lattice="8.590 0.000 0.000 -4.295 7.439 0.000 0.000 0.000 4.195" Properties=species:S:1:pos:R:3 pbc="T T T"
In -2.147 3.719 0.000
In 0.000 2.480 1.398
In -2.147 6.199 1.398
In 2.147 1.240 2.797
In 4.295 0.000 0.000
In 2.147 3.719 0.000
In 2.147 6.199 1.398
In 6.442 1.240 2.797
In 4.295 4.959 2.797
C 0.000 0.000 0.000
C 0.000 4.959 2.797
C 4.295 2.480 1.398
```

- Size of the total moment: 0.0 μB/f.u.
- DFT formation energy: 1296.9 meV per atom
- Mass density: 6.62 g/cm3

=====

Entry 4:
Computed, not measured: an optimized crystal structure of Ca2LaRuN4 at the PBE level of DFT.

The structure in extended XYZ format:
```
16
Lattice="1.745 -5.906 0.000 1.745 5.906 0.000 0.000 0.000 11.902" Properties=species:S:1:pos:R:3 pbc="T T T"
Ca 1.745 4.383 6.388
Ca 1.745 4.383 11.466
Ca 1.745 -4.383 0.437
Ca 1.745 -4.383 5.514
La 1.745 1.287 8.927
La 1.745 -1.287 2.976
Ru 1.745 1.872 2.976
Ru 1.745 -1.872 8.927
N 1.745 4.945 8.927
N 1.745 3.204 1.627
N 1.745 3.204 4.324
N 1.745 0.000 0.000
N 1.745 0.000 5.951
N 1.745 -3.204 7.578
N 1.745 -3.204 10.276
N 1.745 -4.945 2.976
```

- Size of the total moment: 0.0 μB/f.u.
- Electronic total energy: -7.029 eV/atom
- Mass density: 5.09 g/cm3

=====

Entry 5:
Computed, not measured: an optimized crystal structure of PrPuIrPd at the PBE level of DFT.

The structure in extended XYZ format:
```
8
Lattice="4.132 0.000 0.000 0.000 3.920 0.000 0.000 0.000 11.485" Properties=species:S:1:pos:R:3 pbc="T T T"
Pr 0.000 0.000 0.000
Pr 0.000 1.960 5.743
Pu 2.066 0.000 8.283
Pu 2.066 1.960 2.541
Ir 0.000 0.000 2.955
Ir 0.000 1.960 8.697
Pd 2.066 0.000 4.961
Pd 2.066 1.960 10.704
```

- Size of the total moment: 5.2 μB/f.u.
- DFT formation energy: -586.6 meV per atom
- Mass density: 12.20 g/cm3

=====

Entry 6:
Computed, not measured: an optimized crystal structure of Pr2NdTe2 at the PBE level of DFT.

The structure in extended XYZ format:
```
10
Lattice="7.521 0.000 0.000 0.000 6.128 0.000 -1.840 0.000 7.297" Properties=species:S:1:pos:R:3 pbc="T T T"
Pr 0.000 1.520 0.000
Pr 0.000 4.608 0.000
Pr 3.760 1.544 0.000
Pr 3.760 4.584 0.000
Nd -0.920 0.000 3.649
Nd 2.840 3.064 3.649
Te 0.039 3.064 5.123
Te 1.881 0.000 2.174
Te 3.799 0.000 5.123
Te 5.642 3.064 2.174
```

- Size of the total moment: 0.0 μB/f.u.
- Electronic total energy: -4.973 eV/atom
- Mass density: 6.73 g/cm3

=====

Entry 7:
Computed, not measured: an optimized crystal structure of ZnCoCl4 at the PBE level of DFT.

The structure in extended XYZ format:
```
6
Lattice="0.000 4.165 4.165 4.165 0.000 4.165 4.165 4.165 0.000" Properties=species:S:1:pos:R:3 pbc="T T T"
Zn 0.000 0.000 0.000
Co 2.082 2.082 2.082
Cl 5.203 3.127 3.127
Cl 3.127 5.203 3.127
Cl 3.127 3.127 5.203
Cl 5.203 5.203 5.203
```

- Size of the total moment: 4.9 μB/f.u.
- Electronic total energy: -1.723 eV/atom
- Mass density: 3.06 g/cm3

=====

Entry 8:
Computed, not measured: an optimized crystal structure of SrFe4Pb at the PBE level of DFT.

The structure in extended XYZ format:
```
6
Lattice="0.000 3.711 3.711 3.711 0.000 3.711 3.711 3.711 0.000" Properties=species:S:1:pos:R:3 pbc="T T T"
Sr 0.000 0.000 0.000
Fe 4.641 2.782 2.782
Fe 2.782 4.641 2.782
Fe 2.782 2.782 4.641
Fe 4.641 4.641 4.641
Pb 1.856 1.856 1.856
```

- Size of the total moment: 9.3 μB/f.u.
- DFT formation energy: 382.8 meV per atom
- Mass density: 8.42 g/cm3

=====

Entry 9:
Computed, not measured: an optimized crystal structure of Hf2Th2In3 at the PBE level of DFT.

The structure in extended XYZ format:
```
14
Lattice="4.709 0.000 0.000 0.000 23.629 0.000 0.000 0.000 3.261" Properties=species:S:1:pos:R:3 pbc="T T T"
Hf 0.000 4.999 0.000
Hf 0.000 18.630 0.000
Hf 2.354 6.816 0.000
Hf 2.354 16.813 0.000
Th 0.000 1.818 0.000
Th 0.000 21.810 0.000
Th 2.354 9.996 0.000
Th 2.354 13.633 0.000
In 0.000 7.934 1.631
In 0.000 11.814 1.631
In 0.000 15.695 1.631
In 2.354 0.000 1.631
In 2.354 3.880 1.631
In 2.354 19.749 1.631
```

- Size of the total moment: 0.0 μB/f.u.
- DFT formation energy: -80.3 meV per atom
- Mass density: 10.67 g/cm3

=====

Entry 10:
Computed, not measured: an optimized crystal structure of CeEr2Si at the PBE level of DFT.

The structure in extended XYZ format:
```
4
Lattice="4.654 0.000 0.000 0.000 4.654 0.000 0.000 0.000 4.444" Properties=species:S:1:pos:R:3 pbc="T T T"
Ce 0.000 0.000 0.000
Er 0.000 2.327 2.222
Er 2.327 0.000 2.222
Si 2.327 2.327 0.000
```

- Size of the total moment: 0.0 μB/f.u.
- Electronic total energy: -5.377 eV/atom
- Mass density: 8.67 g/cm3

=====

Entry 11:
Computed, not measured: an optimized crystal structure of KTcW2 at the PBE level of DFT.

The structure in extended XYZ format:
```
4
Lattice="3.097 0.000 0.000 0.000 3.097 0.000 0.000 0.000 9.069" Properties=species:S:1:pos:R:3 pbc="T T T"
K 0.000 0.000 0.000
Tc 1.548 1.548 2.939
W 0.000 0.000 4.362
W 1.548 1.548 5.959
```

- Size of the total moment: 0.0 μB/f.u.
- DFT formation energy: 941.1 meV per atom
- Mass density: 9.64 g/cm3

=====

Entry 12:
Computed, not measured: an optimized crystal structure of Th6Te3Os2S at the PBE level of DFT.

The structure in extended XYZ format:
```
12
Lattice="3.679 -6.361 0.000 3.679 6.361 0.000 -2.435 0.000 7.548" Properties=species:S:1:pos:R:3 pbc="T T T"
Th -0.060 2.233 6.001
Th 1.096 0.000 1.538
Th -0.060 -2.233 6.001
Th 4.982 2.233 1.547
Th 3.827 0.000 6.010
Th 4.982 -2.233 1.547
Te -1.218 0.000 3.774
Te 2.461 2.046 3.774
Te 2.461 -2.046 3.774
Os 3.679 4.231 0.000
Os 3.679 -4.231 0.000
S 3.679 0.000 0.000
```

- Size of the total moment: 0.0 μB/f.u.
- Electronic total energy: -7.763 eV/atom
- Mass density: 10.28 g/cm3

=====

Entry 13:
Computed, not measured: an optimized crystal structure of TcOs2Pd at the PBE level of DFT.

The structure in extended XYZ format:
```
16
Lattice="6.193 0.000 0.000 0.000 6.193 0.000 0.000 0.000 6.193" Properties=species:S:1:pos:R:3 pbc="T T T"
Tc 0.000 0.000 0.000
Tc 0.000 3.097 3.097
Tc 3.097 0.000 3.097
Tc 3.097 3.097 0.000
Os 1.548 1.548 1.548
Os 1.548 1.548 4.645
Os 1.548 4.645 1.548
Os 1.548 4.645 4.645
Os 4.645 1.548 1.548
Os 4.645 1.548 4.645
Os 4.645 4.645 1.548
Os 4.645 4.645 4.645
Pd 0.000 0.000 3.097
Pd 0.000 3.097 0.000
Pd 3.097 0.000 0.000
Pd 3.097 3.097 3.097
```

- Size of the total moment: 0.0 μB/f.u.
- DFT formation energy: 583.9 meV per atom
- Mass density: 16.35 g/cm3

=====

Entry 14:
Computed, not measured: an optimized crystal structure of Y4Cd3Ni at the PBE level of DFT.

The structure in extended XYZ format:
```
8
Lattice="3.531 0.000 0.000 0.000 3.531 0.000 0.000 0.000 15.814" Properties=species:S:1:pos:R:3 pbc="T T T"
Y 0.000 0.000 1.619
Y 0.000 0.000 5.828
Y 0.000 0.000 9.985
Y 0.000 0.000 14.194
Cd 1.765 1.765 3.763
Cd 1.765 1.765 7.907
Cd 1.765 1.765 12.050
Ni 1.765 1.765 0.000
```

- Size of the total moment: 0.4 μB/f.u.
- DFT formation energy: -341.7 meV per atom
- Mass density: 6.33 g/cm3

=====

Entry 15:
Computed, not measured: an optimized crystal structure of RbSrLi2C at the PBE level of DFT.

The structure in extended XYZ format:
```
5
Lattice="6.518 0.000 0.000 0.000 6.518 0.000 0.000 0.000 4.685" Properties=species:S:1:pos:R:3 pbc="T T T"
Rb 0.000 0.000 0.000
Sr 3.259 3.259 2.342
Li 0.000 3.259 2.342
Li 3.259 0.000 2.342
C 3.259 3.259 0.000
```

- Size of the total moment: 0.0 μB/f.u.
- DFT formation energy: 1140.8 meV per atom
- Mass density: 1.66 g/cm3

=====

Entry 16:
Computed, not measured: an optimized crystal structure of NaGe2Br4 at the PBE level of DFT.

The structure in extended XYZ format:
```
14
Lattice="7.852 0.000 0.000 0.000 7.852 0.000 0.000 0.000 8.065" Properties=species:S:1:pos:R:3 pbc="T T T"
Na 0.000 0.000 0.000
Na 3.926 3.926 4.032
Ge 0.000 3.926 2.016
Ge 0.000 3.926 6.049
Ge 3.926 0.000 2.016
Ge 3.926 0.000 6.049
Br 1.377 5.326 4.032
Br 1.399 2.550 0.000
Br 2.527 1.377 4.032
Br 2.550 6.453 0.000
Br 5.303 1.399 0.000
Br 5.326 6.476 4.032
Br 6.453 5.303 0.000
Br 6.476 2.527 4.032
```

- Size of the total moment: 1.0 μB/f.u.
- Electronic total energy: -2.934 eV/atom
- Mass density: 3.26 g/cm3

=====

Entry 17:
Computed, not measured: an optimized crystal structure of YTm2S2 at the PBE level of DFT.

The structure in extended XYZ format:
```
15
Lattice="3.781 0.000 0.000 -1.891 3.275 0.000 0.000 0.000 28.338" Properties=species:S:1:pos:R:3 pbc="T T T"
Y 0.000 0.000 0.000
Y 0.000 2.183 18.892
Y 1.891 1.092 9.446
Tm 0.000 0.000 6.104
Tm 0.000 0.000 22.234
Tm 0.000 2.183 12.788
Tm 0.000 2.183 24.996
Tm 1.891 1.092 3.342
Tm 1.891 1.092 15.550
S 0.000 0.000 11.117
S 0.000 0.000 17.221
S 0.000 2.183 1.671
S 0.000 2.183 7.775
S 1.891 1.092 20.563
S 1.891 1.092 26.667
```

- Size of the total moment: 0.4 μB/f.u.
- Electronic total energy: -6.292 eV/atom
- Mass density: 6.97 g/cm3

=====

Entry 18:
Computed, not measured: an optimized crystal structure of PrSm6Y at the PBE level of DFT.

The structure in extended XYZ format:
```
16
Lattice="7.388 0.000 0.000 0.000 12.136 0.000 0.000 0.000 6.052" Properties=species:S:1:pos:R:3 pbc="T T T"
Pr 0.000 0.000 0.000
Pr 3.694 6.068 0.000
Sm 0.000 3.037 3.026
Sm 0.000 9.099 3.026
Sm 1.833 6.068 3.026
Sm 1.847 3.034 0.000
Sm 1.847 9.102 0.000
Sm 1.861 0.000 3.026
Sm 3.694 3.031 3.026
Sm 3.694 9.105 3.026
Sm 5.527 0.000 3.026
Sm 5.541 3.034 0.000
Sm 5.541 9.102 0.000
Sm 5.554 6.068 3.026
Y 0.000 6.068 0.000
Y 3.694 0.000 0.000
```

- Size of the total moment: 0.0 μB/f.u.
- DFT formation energy: 110.9 meV per atom
- Mass density: 6.93 g/cm3

=====

Entry 19:
Computed, not measured: an optimized crystal structure of TlBiRu2O8 at the PBE level of DFT.

The structure in extended XYZ format:
```
12
Lattice="2.769 1.599 8.155 -2.769 1.599 8.155 0.000 -3.197 8.155" Properties=species:S:1:pos:R:3 pbc="T T T"
Tl 0.000 0.000 0.000
Bi 0.000 0.000 12.232
Ru 0.000 0.000 6.106
Ru 0.000 0.000 18.358
O -1.907 -0.147 10.865
O -0.826 -1.725 13.599
O 0.000 0.000 7.857
O 1.081 -1.578 10.865
O -1.081 1.578 13.599
O 0.000 0.000 16.607
O 0.826 1.725 10.865
O 1.907 0.147 13.599
```

- Size of the total moment: 3.1 μB/f.u.
- Electronic total energy: -6.182 eV/atom
- Mass density: 5.70 g/cm3

=====

Entry 20:
Computed, not measured: an optimized crystal structure of Cu2AsPt at the PBE level of DFT.

The structure in extended XYZ format:
```
8
Lattice="3.791 0.000 0.000 0.000 3.791 0.000 0.000 0.000 7.911" Properties=species:S:1:pos:R:3 pbc="T T T"
Cu 0.000 1.895 1.978
Cu 0.000 1.895 5.933
Cu 1.895 0.000 1.978
Cu 1.895 0.000 5.933
As 0.000 0.000 0.000
As 1.895 1.895 3.955
Pt 0.000 0.000 3.955
Pt 1.895 1.895 0.000
```

- Size of the total moment: 0.0 μB/f.u.
- DFT formation energy: -57.6 meV per atom
- Mass density: 11.60 g/cm3

=====

Entry 21:
Computed, not measured: an optimized crystal structure of Ca2TlAgO4 at the PBE level of DFT.

The structure in extended XYZ format:
```
8
Lattice="5.665 0.000 0.000 0.000 3.596 0.000 -1.307 0.000 5.817" Properties=species:S:1:pos:R:3 pbc="T T T"
Ca 0.000 0.000 0.000
Ca -0.653 1.798 2.908
Tl 2.179 0.000 2.908
Ag 2.832 1.798 0.000
O 0.388 0.000 4.033
O 1.029 1.798 1.334
O 3.328 1.798 4.483
O 3.970 0.000 1.784
```

- Size of the total moment: 0.0 μB/f.u.
- Electronic total energy: -5.278 eV/atom
- Mass density: 6.40 g/cm3

=====

Entry 22:
Computed, not measured: an optimized crystal structure of Sn2RuC at the PBE level of DFT.

The structure in extended XYZ format:
```
16
Lattice="6.599 0.000 0.000 0.000 6.599 0.000 0.000 0.000 6.295" Properties=species:S:1:pos:R:3 pbc="T T T"
Sn 1.269 1.650 0.787
Sn 1.650 4.569 2.361
Sn 1.650 5.329 5.508
Sn 2.030 1.650 3.935
Sn 4.569 4.949 3.935
Sn 4.949 1.269 5.508
Sn 4.949 2.030 2.361
Sn 5.329 4.949 0.787
Ru 0.000 0.000 3.148
Ru 0.000 3.299 4.721
Ru 3.299 0.000 1.574
Ru 3.299 3.299 0.000
C 0.000 0.000 0.000
C 0.000 3.299 1.574
C 3.299 0.000 4.721
C 3.299 3.299 3.148
```

- Size of the total moment: 0.0 μB/f.u.
- DFT formation energy: 917.9 meV per atom
- Mass density: 8.49 g/cm3

=====

Entry 23:
Computed, not measured: an optimized crystal structure of GeOsF3 at the PBE level of DFT.

The structure in extended XYZ format:
```
5
Lattice="4.403 0.000 0.000 0.000 4.403 0.000 0.000 0.000 4.403" Properties=species:S:1:pos:R:3 pbc="T T T"
Ge 0.000 0.000 0.000
Os 2.202 2.202 2.202
F 0.000 0.000 2.202
F 0.000 2.202 0.000
F 2.202 0.000 0.000
```

- Size of the total moment: 4.9 μB/f.u.
- Electronic total energy: -4.483 eV/atom
- Mass density: 6.22 g/cm3

=====

Entry 24:
Computed, not measured: an optimized crystal structure of Ta2AsOs at the PBE level of DFT.

The structure in extended XYZ format:
```
4
Lattice="3.286 0.000 0.000 0.000 4.284 0.000 0.000 0.000 4.679" Properties=species:S:1:pos:R:3 pbc="T T T"
Ta 0.000 0.000 0.000
Ta 1.643 0.000 2.339
As 0.000 2.142 2.339
Os 1.643 2.142 0.000
```

- Size of the total moment: 0.0 μB/f.u.
- DFT formation energy: -31.6 meV per atom
- Mass density: 15.81 g/cm3

=====

Entry 25:
Computed, not measured: an optimized crystal structure of AlGe2O6 at the PBE level of DFT.

The structure in extended XYZ format:
```
18
Lattice="5.047 -4.312 0.000 5.047 4.312 0.000 -1.954 0.000 5.169" Properties=species:S:1:pos:R:3 pbc="T T T"
Al 3.582 3.608 3.877
Al 4.559 -3.608 1.292
Ge 1.489 0.771 3.806
Ge 2.466 -0.771 1.221
Ge 5.674 0.771 3.948
Ge 6.651 -0.771 1.364
O -0.188 0.618 3.224
O 2.121 2.419 3.805
O 0.789 -0.618 0.640
O 3.543 0.308 0.331
O 5.042 2.419 3.949
O 2.566 -0.308 2.916
O 5.574 0.308 2.254
O 3.098 -2.419 1.220
O 4.597 -0.308 4.838
O 7.351 0.618 4.530
O 6.019 -2.419 1.364
O 8.329 -0.618 1.945
```

- Size of the total moment: 1.0 μB/f.u.
- Electronic total energy: -6.498 eV/atom
- Mass density: 3.96 g/cm3

=====

Entry 26:
Computed, not measured: an optimized crystal structure of Tc2OsRu at the PBE level of DFT.

The structure in extended XYZ format:
```
4
Lattice="2.724 0.000 0.000 0.000 2.724 0.000 0.000 0.000 7.778" Properties=species:S:1:pos:R:3 pbc="T T T"
Tc 0.000 0.000 0.000
Tc 1.362 1.362 2.085
Os 0.000 0.000 3.930
Ru 1.362 1.362 5.924
```

- Size of the total moment: 0.0 μB/f.u.
- DFT formation energy: 72.5 meV per atom
- Mass density: 14.03 g/cm3